Below is crystalline BeW2Au at its relaxed geometry, with properties calculated at the GGA-PBE level.

Summary:
As for the density of states at the Fermi level: 2.2 states/eV/cell. The value obtained for the magnetic moment is 0.0 μB/cell. Its calculated total energy is -7.87 eV/atom. The formation energy is 0.357 eV per atom.

```
data_BeW2Au
_cell_length_a 2.739
_cell_length_b 4.114
_cell_length_c 5.332
_cell_angle_alpha 90.00
_cell_angle_beta 90.00
_cell_angle_gamma 90.00
_space_group_name_H-M_alt 'P m m m'
_space_group_IT_number 47
_space_group_name_Hall '-P 2 2'
loop_
_atom_site_label
_atom_site_fract_x
_atom_site_fract_y
_atom_site_fract_z
_atom_site_occupancy
Be1 0.000 0.000 0.000 1
W1 0.500 0.500 0.234 1
Au1 0.000 0.000 0.500 1
```